Entry 1:
# PdSN2F

Crystalline PdSN2F at its relaxed geometry (GGA-PBE, the Alexandria database).

Structure (CIF):
```
data_PdSN2F
_chemical_formula_sum 'Pd1 S1 N2 F1'
_cell_length_a 3.687
_cell_length_b 3.687
_cell_length_c 3.969
_cell_angle_alpha 90.00
_cell_angle_beta 90.00
_cell_angle_gamma 90.00
_symmetry_space_group_name_H-M 'P 4/m m m'
_symmetry_Int_Tables_number 123
_symmetry_space_group_name_Hall '-P 4 2'
loop_
_atom_site_label
_atom_site_type_symbol
_atom_site_fract_x
_atom_site_fract_y
_atom_site_fract_z
Pd1 Pd 0.000 0.000 0.000
S1 S 0.500 0.500 0.500
N1 N 0.000 0.500 0.500
F1 F 0.500 0.500 0.000
```

Computed properties:
* raw total energy: -4.272 eV per atom
* V: 10.8 Å³/atom


Entry 2:
# PdSN2F

Crystalline PdSN2F at its relaxed geometry (GGA-PBE, the Alexandria database).

Structure (CIF):
```
data_PdSN2F
_chemical_formula_sum 'Pd1 S1 N2 F1'
_cell_length_a 3.999
_cell_length_b 3.999
_cell_length_c 4.917
_cell_angle_alpha 90.00
_cell_angle_beta 90.00
_cell_angle_gamma 90.00
_symmetry_space_group_name_H-M 'P 4/m m m'
_symmetry_Int_Tables_number 123
_symmetry_space_group_name_Hall '-P 4 2'
loop_
_atom_site_label
_atom_site_type_symbol
_atom_site_fract_x
_atom_site_fract_y
_atom_site_fract_z
Pd1 Pd 0.000 0.000 0.000
S1 S 0.000 0.000 0.500
N1 N 0.000 0.500 0.000
F1 F 0.500 0.500 0.500
```

Computed properties:
* raw total energy: -4.086 eV per atom
* V: 15.7 Å³/atom


Entry 3:
# PdS2NF

Crystalline PdS2NF at its relaxed geometry (GGA-PBE, the Alexandria database).

Structure (CIF):
```
data_PdS2NF
_chemical_formula_sum 'Pd1 S2 N1 F1'
_cell_length_a 4.479
_cell_length_b 4.479
_cell_length_c 3.734
_cell_angle_alpha 90.00
_cell_angle_beta 90.00
_cell_angle_gamma 90.00
_symmetry_space_group_name_H-M 'P 4/m m m'
_symmetry_Int_Tables_number 123
_symmetry_space_group_name_Hall '-P 4 2'
loop_
_atom_site_label
_atom_site_type_symbol
_atom_site_fract_x
_atom_site_fract_y
_atom_site_fract_z
Pd1 Pd 0.000 0.000 0.000
S1 S 0.000 0.500 0.500
N1 N 0.500 0.500 0.000
F1 F 0.500 0.500 0.500
```

Computed properties:
* raw total energy: -3.144 eV per atom
* V: 15.0 Å³/atom